[1]
Here is a relaxed structure of LiBi4Pd2 from Alexandria. Energies are from PBE.

Calculated formation energy: -0.19 eV per atom
Offset from the most stable computed form: 119 meV per atom
Space-group type: P1, No. 1

Geometry as POSCAR:
```
LiBi4Pd2
1.0
-7.448 -1.700 -1.800
2.678 -4.859 5.569
0.386 7.306 2.582
Pd Bi Li
4 8 2
direct
0.625 0.875 0.250 Pd
0.625 0.375 0.750 Pd
0.125 0.375 0.750 Pd
0.625 0.375 0.250 Pd
0.925 0.246 0.314 Bi
0.497 0.676 0.814 Bi
0.752 0.074 0.686 Bi
0.861 0.683 0.186 Bi
0.388 0.067 0.314 Bi
0.932 0.611 0.686 Bi
0.324 0.503 0.186 Bi
0.317 0.138 0.814 Bi
0.003 0.003 0.000 Li
0.249 0.749 0.500 Li
```

[2]
Here is a relaxed structure of EuHgBr2 from Alexandria. Energies are from PBE.

Offset from the most stable computed form: 0 meV per atom
Space-group type: R-3m, No. 166
Uncorrected formation energy: -5.9 eV/f.u.

Geometry as POSCAR:
```
EuHgBr2
1.0
4.478 0.000 0.000
2.239 3.878 0.000
2.239 1.293 9.991
Hg Br Eu
1 2 1
direct
0.500 0.500 0.500 Hg
0.720 0.720 0.840 Br
0.280 0.280 0.160 Br
0.000 0.000 0.000 Eu
```

[3]
Here is a relaxed structure of SrNdAgSe3 from Alexandria. Energies are from PBE.

Space-group type: P2_1/m, No. 11
Uncorrected formation energy: -9.1 eV/f.u.

Geometry as POSCAR:
```
SrNdAgSe3
1.0
-1.154 4.064 0.454
-8.210 -2.480 1.337
3.667 0.074 8.657
Nd Sr Ag Se
2 2 2 6
direct
0.250 0.675 0.170 Nd
0.750 0.325 0.830 Nd
0.250 0.191 0.237 Sr
0.750 0.809 0.763 Sr
0.250 0.090 0.585 Ag
0.750 0.910 0.415 Ag
0.250 0.095 0.870 Se
0.750 0.432 0.159 Se
0.250 0.751 0.494 Se
0.750 0.905 0.130 Se
0.750 0.249 0.506 Se
0.250 0.568 0.841 Se
```

[4]
Here is a relaxed structure of Tl2H3Rh2 from Alexandria. Energies are from PBE.

Raw total energy: -4.170 eV per atom
Space-group type: P-1, No. 2

Geometry as POSCAR:
```
Tl2H3Rh2
1.0
-2.167 1.605 -1.858
-0.459 -5.217 -1.063
-0.392 1.761 7.713
Rh H Tl
2 3 2
direct
0.965 0.356 0.287 Rh
0.035 0.644 0.713 Rh
0.327 0.466 0.595 H
0.673 0.534 0.405 H
0.500 0.000 0.000 H
0.862 0.158 0.783 Tl
0.138 0.842 0.217 Tl
```

[5]
Here is a relaxed structure of La2ReO from Alexandria. Energies are from PBE.

Space-group type: I-42d, No. 122
Uncorrected formation energy: -2.9 eV/f.u.

Geometry as POSCAR:
```
La2ReO
1.0
6.809 0.000 0.000
0.000 6.809 0.000
3.404 3.404 4.116
O La Re
2 4 2
direct
0.250 0.750 0.500 O
0.500 0.500 0.000 O
0.875 0.823 0.750 La
0.375 0.427 0.750 La
0.177 0.625 0.250 La
0.573 0.125 0.250 La
0.000 0.000 0.000 Re
0.750 0.250 0.500 Re
```

[6]
Here is a relaxed structure of TbY2Be from Alexandria. Energies are from PBE.

Calculated formation energy: 0.07 eV per atom
Space-group type: P4/mmm, No. 123

Geometry as POSCAR:
```
TbY2Be
1.0
-2.823 -0.697 1.903
-1.109 -2.201 -2.451
4.222 -6.465 3.896
Be Y Tb
1 2 1
direct
0.500 0.500 0.000 Be
0.000 0.000 0.193 Y
0.000 0.000 0.807 Y
0.500 0.500 0.500 Tb
```

[7]
Here is a relaxed structure of HfNp2NbP4 from Alexandria. Energies are from PBE.

Calculated formation energy: -0.99 eV per atom
Space-group type: P2/m, No. 10

Geometry as POSCAR:
```
HfNp2NbP4
1.0
-0.959 -3.659 0.013
4.322 -1.150 -4.809
2.928 -0.747 5.781
P Nb Hf Np
4 1 1 2
direct
0.500 0.248 0.234 P
0.500 0.752 0.766 P
0.000 0.259 0.767 P
0.000 0.741 0.233 P
0.500 0.500 0.000 Nb
0.000 0.000 0.000 Hf
0.500 0.000 0.500 Np
0.000 0.500 0.500 Np
```

[8]
Here is a relaxed structure of DySc2PdO from Alexandria. Energies are from PBE.

Space-group type: P4/mmm, No. 123
Uncorrected formation energy: -7.5 eV/f.u.

Geometry as POSCAR:
```
DySc2PdO
1.0
4.337 0.000 0.000
0.000 4.337 0.000
0.000 0.000 4.789
O Dy Sc Pd
1 1 2 1
direct
0.000 0.000 0.000 O
0.000 0.000 0.500 Dy
0.000 0.500 0.000 Sc
0.500 0.000 0.000 Sc
0.500 0.500 0.500 Pd
```

[9]
Here is a relaxed structure of MoPd2Pt2Rh2 from Alexandria. Energies are from PBE.

Calculated formation energy: 0.05 eV per atom
Space-group type: C2/m, No. 12

Geometry as POSCAR:
```
MoPd2Pt2Rh2
1.0
2.716 0.000 0.000
-1.358 10.029 -4.047
0.000 -6.332 6.554
Pd Mo Pt Rh
2 1 2 2
direct
0.706 0.411 0.780 Pd
0.294 0.589 0.220 Pd
0.000 0.000 0.500 Mo
0.413 0.827 0.056 Pt
0.587 0.173 0.944 Pt
0.650 0.300 0.367 Rh
0.350 0.700 0.633 Rh
```

[10]
Here is a relaxed structure of CeErCo from Alexandria. Energies are from PBE.

Calculated formation energy: 0.07 eV per atom
Offset from the most stable computed form: 260 meV per atom
Space-group type: P-6m2, No. 187

Geometry as POSCAR:
```
CeErCo
1.0
-3.427 3.144 -1.095
0.828 -0.499 -4.021
-2.804 -2.413 1.849
Ce Er Co
1 1 1
direct
0.167 0.333 0.667 Ce
0.667 0.667 0.333 Er
0.166 0.000 0.000 Co
```

[11]
Here is a relaxed structure of Ba3AlGe from Alexandria. Energies are from PBE.

Calculated formation energy: -0.25 eV per atom
Offset from the most stable computed form: 0 meV per atom
Space-group type: P1, No. 1

Geometry as POSCAR:
```
Ba3AlGe
1.0
4.870 0.606 0.030
-1.148 9.096 -0.445
0.053 -0.802 9.695
Ba Ge Al
6 2 2
direct
0.272 0.535 0.039 Ba
0.774 0.937 0.077 Ba
0.270 0.218 0.345 Ba
0.772 0.619 0.382 Ba
0.770 0.274 0.788 Ba
0.273 0.880 0.633 Ba
0.770 0.311 0.134 Ge
0.274 0.843 0.287 Ge
0.271 0.510 0.673 Al
0.772 0.644 0.748 Al
```

[12]
Here is a relaxed structure of La5Y2Tm2 from Alexandria. Energies are from PBE.

Calculated formation energy: 0.03 eV per atom
Offset from the most stable computed form: 0 meV per atom
Space-group type: C2/m, No. 12

Geometry as POSCAR:
```
La5Y2Tm2
1.0
6.254 0.457 -0.992
-2.430 4.559 0.261
-1.577 1.483 10.653
La Y Tm
5 2 2
direct
0.219 0.332 0.554 La
0.558 0.334 0.890 La
0.000 0.000 0.000 La
0.442 0.666 0.110 La
0.781 0.668 0.446 La
0.667 0.000 0.667 Y
0.333 0.000 0.333 Y
0.887 0.331 0.225 Tm
0.113 0.669 0.775 Tm
```